Record 1
Entry from the Alexandria database: an optimized crystal structure of BiSeO (GGA-PBE).

```
BiSeO
1.0
-1.163 -2.498 -2.933
1.968 -3.019 1.792
-6.855 0.943 4.643
Se Bi O
2 2 2
direct
0.487 0.539 0.268 Se
0.641 0.693 0.571 Se
0.235 0.287 0.758 Bi
0.892 0.946 0.081 Bi
0.314 0.866 0.920 O
0.813 0.366 0.920 O
```

Values from the calculation:
The value obtained for the formation energy (no corrections) is -786 meV/atom. For the uncorrected energy, the calculation gives -4.894 eV per atom. Its magnetic moment is 0.000 μB per atom. The energy above the lowest structure with this stoichiometry is 0.000 eV per atom. As for the density of states at the Fermi level: 0.015 states/eV/atom.

***

Record 2
Entry from the Alexandria database: an optimized crystal structure of Sr2AlW (GGA-PBE).

```
Sr2AlW
1.0
3.136 0.000 0.000
0.000 5.048 0.000
0.000 0.000 6.513
Sr Al W
2 1 1
direct
0.000 0.000 0.496 Sr
0.000 0.000 0.004 Sr
0.500 0.500 0.750 Al
0.500 0.500 0.250 W
```

Values from the calculation:
For the uncorrected energy, the calculation gives -4.082 eV per atom. Its magnetic moment is 0.173 μB per atom. The energy of formation comes out at 0.93 eV per atom. As for the density of states at the Fermi level: 1.286 states/eV/atom.

***

Record 3
Entry from the Alexandria database: an optimized crystal structure of KC3 (GGA-PBE).

```
KC3
1.0
6.092 0.045 0.027
5.388 2.843 0.027
5.388 1.356 2.500
K C
1 3
direct
0.000 0.000 0.000 K
0.795 0.795 0.795 C
0.500 0.500 0.500 C
0.205 0.205 0.205 C
```

Values from the calculation:
For the uncorrected energy, the calculation gives -4.751 eV per atom. Its magnetic moment is 0.086 μB per atom. The energy above the lowest structure with this stoichiometry is 1.870 eV per atom. The energy of formation comes out at 2.44 eV per atom. As for the density of states at the Fermi level: 0.510 states/eV/atom.

***

Record 4
Entry from the Alexandria database: an optimized crystal structure of SbP2HOs (GGA-PBE).

```
SbP2HOs
1.0
-2.008 1.812 -3.487
-5.106 -2.097 1.850
-0.680 3.696 2.313
P Sb Os H
2 1 1 1
direct
0.000 0.000 0.500 P
0.500 0.000 0.000 P
0.000 0.500 0.000 Sb
0.000 0.000 0.000 Os
0.500 0.500 0.500 H
```

Values from the calculation:
For the uncorrected energy, the calculation gives -5.016 eV per atom. Its magnetic moment is 0.000 μB per atom. As for the density of states at the Fermi level: 0.612 states/eV/atom.

***

Record 5
Entry from the Alexandria database: an optimized crystal structure of Sm2ThPb (GGA-PBE).

```
Sm2ThPb
1.0
3.685 0.000 0.000
0.000 3.685 0.000
0.000 0.000 9.221
Th Sm Pb
1 2 1
direct
0.500 0.500 0.500 Th
0.000 0.000 0.761 Sm
0.000 0.000 0.239 Sm
0.500 0.500 0.000 Pb
```

Values from the calculation:
For the uncorrected energy, the calculation gives -5.362 eV per atom. Its magnetic moment is 0.000 μB per atom. The energy above the lowest structure with this stoichiometry is 0.037 eV per atom. The energy of formation comes out at -0.22 eV per atom. As for the density of states at the Fermi level: 0.639 states/eV/atom.

***

Record 6
Entry from the Alexandria database: an optimized crystal structure of TmAlGa6 (GGA-PBE).

```
TmAlGa6
1.0
-3.992 0.901 3.702
-1.237 -1.156 -5.253
-5.332 -5.884 -0.289
Ga Tm Al
6 1 1
direct
0.747 0.747 0.753 Ga
0.250 0.750 0.251 Ga
0.750 0.250 0.749 Ga
0.750 0.250 0.251 Ga
0.250 0.750 0.749 Ga
0.253 0.253 0.247 Ga
0.500 0.500 0.500 Tm
0.000 0.000 0.000 Al
```

Values from the calculation:
For the uncorrected energy, the calculation gives -3.467 eV per atom. Its magnetic moment is 0.000 μB per atom. The energy above the lowest structure with this stoichiometry is 0.042 eV per atom. The energy of formation comes out at -0.17 eV per atom. As for the density of states at the Fermi level: 0.492 states/eV/atom.

***

Record 7
Entry from the Alexandria database: an optimized crystal structure of RbCd2MoCl (GGA-PBE).

```
RbCd2MoCl
1.0
6.391 0.000 0.000
0.000 4.853 0.000
0.000 0.000 6.391
Mo Cd Rb Cl
1 2 1 1
direct
0.000 0.500 0.000 Mo
0.000 0.000 0.500 Cd
0.500 0.000 0.000 Cd
0.500 0.500 0.500 Rb
0.000 0.000 0.000 Cl
```

Values from the calculation:
The value obtained for the formation energy (no corrections) is 616 meV/atom. For the uncorrected energy, the calculation gives -2.479 eV per atom. Its magnetic moment is 0.843 μB per atom. As for the density of states at the Fermi level: 0.516 states/eV/atom.

***

Record 8
Entry from the Alexandria database: an optimized crystal structure of MgTl2Os (GGA-PBE).

```
MgTl2Os
1.0
-4.212 -0.377 -2.983
1.639 -0.134 -4.907
1.461 -2.818 4.087
Mg Os Tl
1 1 2
direct
0.250 0.750 0.500 Mg
0.750 0.250 0.500 Os
0.500 0.500 0.000 Tl
0.000 0.000 0.000 Tl
```

Values from the calculation:
For the uncorrected energy, the calculation gives -3.800 eV per atom. Its magnetic moment is 0.000 μB per atom. The energy above the lowest structure with this stoichiometry is 0.120 eV per atom. The energy of formation comes out at 0.59 eV per atom. As for the density of states at the Fermi level: 0.603 states/eV/atom.

***

Record 9
Entry from the Alexandria database: an optimized crystal structure of MgAuCl2 (GGA-PBE).

```
MgAuCl2
1.0
-3.514 0.939 -0.171
-0.255 -1.935 -5.393
-1.052 -3.687 1.373
Cl Au Mg
2 1 1
direct
0.000 0.000 0.000 Cl
0.500 0.500 0.000 Cl
0.000 0.500 0.500 Au
0.500 0.000 0.500 Mg
```

Values from the calculation:
The value obtained for the formation energy (no corrections) is -414 meV/atom. For the uncorrected energy, the calculation gives -2.556 eV per atom. Its magnetic moment is 0.000 μB per atom. The energy above the lowest structure with this stoichiometry is 0.574 eV per atom. As for the density of states at the Fermi level: 0.349 states/eV/atom.